VASP calculation (SCAN) on NaSr2MnCd at its PBEsol-relaxed geometry.

Computed properties:
Crystal system: tetragonal
ΔH_f (0 K) in eV per atom: 0.344
Symmetry: P4/mmm

Unit cell a=6.1570 b=6.1570 c=5.4193 alpha=90.00 beta=90.00 gamma=90.00
Closest atoms and distances in Å follow each position.
Fractional coordinates of all 5 atoms:
Na1 0.0000 0.0000 0.0000  2 Cd 2.71
Sr1 0.0000 0.5000 0.5000  2 Cd 3.08
Sr2 0.5000 0.0000 0.5000  2 Cd 3.08
Mn1 0.5000 0.5000 0.0000  8 Sr 4.10, 4 Na 4.35
Cd1 0.0000 0.0000 0.5000  2 Na 2.71

=====

VASP calculation (SCAN) on NaTaMnCd2 at its PBEsol-relaxed geometry.

Computed properties:
Crystal system: tetragonal
ΔH_f (0 K) in eV per atom: 0.615
Symmetry: P4/mmm

Unit cell a=5.1170 b=5.1170 c=4.2821 alpha=90.00 beta=90.00 gamma=90.00
Closest atoms and distances in Å follow each position.
Fractional coordinates of all 5 atoms:
Na1 0.0000 0.0000 0.0000  8 Cd 3.34, 4 Ta 3.62
Ta1 0.5000 0.5000 0.0000  2 Mn 2.14
Mn1 0.5000 0.5000 0.5000  2 Ta 2.14
Cd1 0.0000 0.5000 0.5000  2 Mn 2.56
Cd2 0.5000 0.0000 0.5000  2 Mn 2.56

=====

VASP calculation (SCAN) on MnNbCd3 at its PBEsol-relaxed geometry.

Computed properties:
Crystal system: cubic
ΔH_f (0 K) in eV per atom: 1.211
Symmetry: Pm-3m

Unit cell a=5.2637 b=5.2637 c=5.2637 alpha=90.00 beta=90.00 gamma=90.00
Closest atoms and distances in Å follow each position.
Fractional coordinates of all 5 atoms:
Mn1 0.0000 0.0000 0.0000  12 Cd 3.72
Nb1 0.5000 0.5000 0.5000  6 Cd 2.63
Cd1 0.0000 0.5000 0.5000  2 Nb 2.63
Cd2 0.5000 0.0000 0.5000  2 Nb 2.63
Cd3 0.5000 0.5000 0.0000  2 Nb 2.63

=====

VASP calculation (SCAN) on MnNbCdNi2 at its PBEsol-relaxed geometry.

Computed properties:
Crystal system: tetragonal
ΔH_f (0 K) in eV per atom: 1.093
Symmetry: P4/mmm

Unit cell a=4.2182 b=4.2182 c=4.6989 alpha=90.00 beta=90.00 gamma=90.00
Closest atoms and distances in Å follow each position.
Fractional coordinates of all 5 atoms:
Mn1 0.0000 0.0000 0.0000  4 Ni 2.11, 2 Cd 2.35
Nb1 0.5000 0.5000 0.5000  4 Cd 2.98, 8 Ni 3.16
Cd1 0.0000 0.0000 0.5000  2 Mn 2.35
Ni1 0.0000 0.5000 0.0000  2 Mn 2.11
Ni2 0.5000 0.0000 0.0000  2 Mn 2.11

=====

VASP calculation (SCAN) on MnNbCd2O at its PBEsol-relaxed geometry.

Computed properties:
Crystal system: tetragonal
Uncorrected formation energy in eV per atom: 0.1424
Symmetry: P4/mmm

Unit cell a=5.1863 b=5.1863 c=3.3295 alpha=90.00 beta=90.00 gamma=90.00
Closest atoms and distances in Å follow each position.
Fractional coordinates of all 5 atoms:
Mn1 0.0000 0.0000 0.0000  2 O 1.66
Nb1 0.5000 0.5000 0.5000  8 Cd 3.08, 2 Nb 3.33
Cd1 0.0000 0.5000 0.0000  2 Mn 2.59
Cd2 0.5000 0.0000 0.0000  2 Mn 2.59
O1 0.0000 0.0000 0.5000  2 Mn 1.66

=====

VASP calculation (SCAN) on Mn2CdNi at its PBEsol-relaxed geometry.

Computed properties:
Crystal system: cubic
ΔH_f (0 K) in eV per atom: -0.078
Symmetry: F-43m

Unit cell a=4.2595 b=4.2595 c=4.2595 alpha=60.00 beta=60.00 gamma=60.00
Closest atoms and distances in Å follow each position.
Fractional coordinates of all 4 atoms:
Mn1 0.0000 0.0000 0.0000  4 Cd 2.61, 4 Mn 2.61
Mn2 0.2500 0.2500 0.2500  4 Mn 2.61, 4 Ni 2.61
Cd1 0.7500 0.7500 0.7500  4 Mn 2.61, 4 Ni 2.61
Ni1 0.5000 0.5000 0.5000  4 Cd 2.61, 4 Mn 2.61

=====

VASP calculation (SCAN) on MnCdNi6 at its PBEsol-relaxed geometry.

Computed properties:
Crystal system: orthorhombic
ΔH_f (0 K) in eV per atom: -0.027
Symmetry: Cmmm

Unit cell a=6.2080 b=6.2080 c=10.1689 alpha=90.00 beta=90.00 gamma=109.64
Closest atoms and distances in Å follow each position.
Fractional coordinates of all 32 atoms:
Mn1 0.0000 0.0000 0.2468  12 Ni 2.46-2.58
Mn2 0.0000 0.0000 0.7532  12 Ni 2.46-2.58
Mn3 0.2526 0.7474 0.0000  12 Ni 2.45-2.56
Mn4 0.7474 0.2526 0.0000  12 Ni 2.45-2.56
Cd1 0.2547 0.7453 0.5000  12 Ni 2.49-2.64
Cd2 0.5000 0.5000 0.2478  12 Ni 2.52-2.60
Cd3 0.5000 0.5000 0.7522  12 Ni 2.52-2.60
Cd4 0.7453 0.2547 0.5000  12 Ni 2.49-2.64
Ni1 0.0000 0.0000 0.0000  8 Ni 2.48, 4 Mn 2.51-2.56
Ni2 0.0000 0.0000 0.5000  8 Ni 2.51, 2 Mn 2.58, 2 Cd 2.58
Ni3 0.1156 0.3701 0.1198  8 Ni 2.44-2.58, 3 Mn 2.47-2.52, 1 Cd 2.60
Ni4 0.1156 0.3701 0.8802  8 Ni 2.44-2.58, 3 Mn 2.47-2.52, 1 Cd 2.60
Ni5 0.1172 0.3628 0.3684  1 Mn 2.46, 8 Ni 2.48-2.68, 3 Cd 2.55-2.61
Ni6 0.1172 0.3628 0.6316  1 Mn 2.46, 8 Ni 2.48-2.68, 3 Cd 2.55-2.61
Ni7 0.2447 0.7553 0.2407  8 Ni 2.44-2.64, 2 Mn 2.45-2.48, 2 Cd 2.59-2.64
Ni8 0.2447 0.7553 0.7593  8 Ni 2.44-2.64, 2 Mn 2.45-2.48, 2 Cd 2.59-2.64
Ni9 0.3628 0.1172 0.3684  1 Mn 2.46, 8 Ni 2.48-2.68, 3 Cd 2.55-2.61
Ni10 0.3628 0.1172 0.6316  1 Mn 2.46, 8 Ni 2.48-2.68, 3 Cd 2.55-2.61
Ni11 0.3701 0.1156 0.1198  8 Ni 2.44-2.58, 3 Mn 2.47-2.52, 1 Cd 2.60
Ni12 0.3701 0.1156 0.8802  8 Ni 2.44-2.58, 3 Mn 2.47-2.52, 1 Cd 2.60
Ni13 0.5000 0.5000 0.0000  2 Mn 2.51, 2 Cd 2.52, 8 Ni 2.56
Ni14 0.5000 0.5000 0.5000  4 Cd 2.49-2.57, 8 Ni 2.61
Ni15 0.6299 0.8844 0.1198  8 Ni 2.44-2.58, 3 Mn 2.47-2.52, 1 Cd 2.60
Ni16 0.6299 0.8844 0.8802  8 Ni 2.44-2.58, 3 Mn 2.47-2.52, 1 Cd 2.60
Ni17 0.6372 0.8828 0.3684  1 Mn 2.46, 8 Ni 2.48-2.68, 3 Cd 2.55-2.61
Ni18 0.6372 0.8828 0.6316  1 Mn 2.46, 8 Ni 2.48-2.68, 3 Cd 2.55-2.61
Ni19 0.7553 0.2447 0.2407  8 Ni 2.44-2.64, 2 Mn 2.45-2.48, 2 Cd 2.59-2.64
Ni20 0.7553 0.2447 0.7593  8 Ni 2.44-2.64, 2 Mn 2.45-2.48, 2 Cd 2.59-2.64
Ni21 0.8828 0.6372 0.3684  1 Mn 2.46, 8 Ni 2.48-2.68, 3 Cd 2.55-2.61
Ni22 0.8828 0.6372 0.6316  1 Mn 2.46, 8 Ni 2.48-2.68, 3 Cd 2.55-2.61
Ni23 0.8844 0.6299 0.1198  8 Ni 2.44-2.58, 3 Mn 2.47-2.52, 1 Cd 2.60
Ni24 0.8844 0.6299 0.8802  8 Ni 2.44-2.58, 3 Mn 2.47-2.52, 1 Cd 2.60

=====

VASP calculation (SCAN) on Mn2CdNi at its PBEsol-relaxed geometry.

Computed properties:
Crystal system: orthorhombic
ΔH_f (0 K) in eV per atom: 0.510
Symmetry: Pmmm

Unit cell a=2.5846 b=3.8458 c=5.1658 alpha=90.00 beta=90.00 gamma=90.00
Closest atoms and distances in Å follow each position.
Fractional coordinates of all 4 atoms:
Mn1 0.0000 0.0000 0.1889  1 Mn 1.95
Mn2 0.0000 0.0000 0.8111  1 Mn 1.95
Cd1 0.5000 0.5000 0.5000  2 Ni 2.58, 2 Cd 2.58, 8 Mn 2.82
Ni1 0.5000 0.5000 0.0000  8 Mn 2.51, 2 Cd 2.58, 2 Ni 2.58

=====

VASP calculation (SCAN) on Mn2CdNi at its PBEsol-relaxed geometry.

Computed properties:
Crystal system: tetragonal
ΔH_f (0 K) in eV per atom: -0.034
Symmetry: P4/mmm

Unit cell a=3.8652 b=3.8652 c=3.7648 alpha=90.00 beta=90.00 gamma=90.00
Closest atoms and distances in Å follow each position.
Fractional coordinates of all 4 atoms:
Mn1 0.0000 0.5000 0.0000  4 Cd 2.70, 4 Ni 2.70, 4 Mn 2.73
Mn2 0.5000 0.0000 0.0000  4 Cd 2.70, 4 Ni 2.70, 4 Mn 2.73
Cd1 0.0000 0.0000 0.5000  8 Mn 2.70, 4 Ni 2.73
Ni1 0.5000 0.5000 0.5000  8 Mn 2.70, 4 Cd 2.73

=====

VASP calculation (SCAN) on MnCdNi2 at its PBEsol-relaxed geometry.

Computed properties:
Crystal system: tetragonal
ΔH_f (0 K) in eV per atom: -0.140
Symmetry: P4/mmm

Unit cell a=2.8967 b=2.8967 c=6.2046 alpha=90.00 beta=90.00 gamma=90.00
Closest atoms and distances in Å follow each position.
Fractional coordinates of all 4 atoms:
Mn1 0.0000 0.0000 0.0000  8 Ni 2.45
Cd1 0.0000 0.0000 0.5000  8 Ni 2.70, 4 Cd 2.90
Ni1 0.5000 0.5000 0.2156  4 Mn 2.45, 1 Ni 2.68, 4 Cd 2.70
Ni2 0.5000 0.5000 0.7844  4 Mn 2.45, 1 Ni 2.68, 4 Cd 2.70

=====

VASP calculation (SCAN) on MnCdNi2 at its PBEsol-relaxed geometry.

Computed properties:
Crystal system: monoclinic
ΔH_f (0 K) in eV per atom: 0.001
Symmetry: Pm

Unit cell a=2.7278 b=4.0211 c=5.0675 alpha=90.00 beta=105.54 gamma=90.00
Closest atoms and distances in Å follow each position.
Fractional coordinates of all 4 atoms:
Mn1 0.0000 0.0000 0.0000  7 Ni 2.54-2.74, 2 Mn 2.73
Cd1 0.3222 0.5000 0.6513  7 Ni 2.53-2.72, 2 Cd 2.73
Ni1 0.5880 0.5000 0.1705  2 Ni 2.40, 1 Cd 2.53, 4 Mn 2.56-2.57
Ni2 0.7148 0.0000 0.4392  2 Ni 2.40, 2 Mn 2.54-2.55, 4 Cd 2.64

=====

VASP calculation (SCAN) on MnCdNi2Pb at its PBEsol-relaxed geometry.

Computed properties:
Crystal system: tetragonal
ΔH_f (0 K) in eV per atom: 0.852
Symmetry: P4/mmm

Unit cell a=4.4426 b=4.4426 c=4.9225 alpha=90.00 beta=90.00 gamma=90.00
Closest atoms and distances in Å follow each position.
Fractional coordinates of all 5 atoms:
Mn1 0.0000 0.0000 0.0000  4 Ni 2.22, 2 Pb 2.46
Cd1 0.5000 0.5000 0.5000  4 Pb 3.14, 8 Ni 3.32
Ni1 0.0000 0.5000 0.0000  2 Mn 2.22
Ni2 0.5000 0.0000 0.0000  2 Mn 2.22
Pb1 0.0000 0.0000 0.5000  2 Mn 2.46

=====

VASP calculation (SCAN) on MnCd6O8 at its PBEsol-relaxed geometry.

Computed properties:
Crystal system: cubic
Uncorrected formation energy in eV per atom: -1.4035
Symmetry: Fm-3m

Unit cell a=6.5482 b=6.5482 c=6.5482 alpha=60.00 beta=60.00 gamma=60.00
Closest atoms and distances in Å follow each position.
Fractional coordinates of all 15 atoms:
Mn1 0.0000 0.0000 0.0000  6 O 1.93
Cd1 0.0000 0.0000 0.5000  6 O 2.32-2.35
Cd2 0.0000 0.5000 0.0000  6 O 2.32-2.35
Cd3 0.0000 0.5000 0.5000  6 O 2.32-2.35
Cd4 0.5000 0.0000 0.0000  6 O 2.32-2.35
Cd5 0.5000 0.0000 0.5000  6 O 2.32-2.35
Cd6 0.5000 0.5000 0.0000  6 O 2.32-2.35
O1 0.2084 0.2084 0.7916  1 Mn 1.93
O2 0.2084 0.7916 0.2084  1 Mn 1.93
O3 0.2084 0.7916 0.7916  1 Mn 1.93
O4 0.2500 0.2500 0.2500  6 Cd 2.32
O5 0.7500 0.7500 0.7500  6 Cd 2.32
O6 0.7916 0.2084 0.2084  1 Mn 1.93
O7 0.7916 0.2084 0.7916  1 Mn 1.93
O8 0.7916 0.7916 0.2084  1 Mn 1.93

=====

VASP calculation (SCAN) on MnCd4O5 at its PBEsol-relaxed geometry.

Computed properties:
Crystal system: monoclinic
Uncorrected formation energy in eV per atom: -1.3518
Polymorph energy (0 for the lowest one) in meV/atom: 7
Symmetry: C2/m

Unit cell a=7.4060 b=7.4060 c=10.9407 alpha=102.06 beta=102.06 gamma=25.37
Closest atoms and distances in Å follow each position.
Fractional coordinates of all 20 atoms:
Mn1 0.1006 0.1006 0.2989  6 O 2.15-2.30
Mn2 0.8994 0.8994 0.7011  6 O 2.15-2.30
Cd1 0.0000 0.0000 0.0000  6 O 2.29-2.48
Cd2 0.1969 0.1969 0.5945  6 O 2.32-2.43
Cd3 0.2986 0.2986 0.8959  6 O 2.32-2.40
Cd4 0.3998 0.3998 0.2015  6 O 2.31-2.41
Cd5 0.5000 0.5000 0.5000  6 O 2.31-2.38
Cd6 0.6002 0.6002 0.7985  6 O 2.31-2.41
Cd7 0.7014 0.7014 0.1041  6 O 2.32-2.40
Cd8 0.8031 0.8031 0.4055  6 O 2.32-2.43
O1 0.0458 0.0458 0.6503  1 Mn 2.30, 5 Cd 2.31-2.39
O2 0.1471 0.1471 0.9528  6 Cd 2.29-2.40
O3 0.2470 0.2470 0.2566  1 Mn 2.26, 5 Cd 2.32-2.41
O4 0.3553 0.3553 0.5709  2 Mn 2.17, 2 Cd 2.36-2.38
O5 0.4433 0.4433 0.8296  2 Mn 2.15, 2 Cd 2.36
O6 0.5567 0.5567 0.1704  2 Mn 2.15, 2 Cd 2.36
O7 0.6447 0.6447 0.4291  2 Mn 2.17, 2 Cd 2.36-2.38
O8 0.7530 0.7530 0.7434  1 Mn 2.26, 5 Cd 2.32-2.41
O9 0.8529 0.8529 0.0472  6 Cd 2.29-2.40
O10 0.9542 0.9542 0.3497  1 Mn 2.30, 5 Cd 2.31-2.39

=====

VASP calculation (SCAN) on MnCd4O5 at its PBEsol-relaxed geometry.

Computed properties:
Crystal system: trigonal
Uncorrected formation energy in eV per atom: -1.3593
Polymorph energy (0 for the lowest one) in meV/atom: 0
Symmetry: R-3m

Unit cell a=13.6066 b=13.6066 c=13.6066 alpha=13.83 beta=13.83 gamma=13.83
Closest atoms and distances in Å follow each position.
Fractional coordinates of all 10 atoms:
Mn1 0.0000 0.0000 0.0000  6 O 2.19
Cd1 0.2008 0.2008 0.2008  6 O 2.34-2.36
Cd2 0.3975 0.3975 0.3975  6 O 2.32-2.41
Cd3 0.6025 0.6025 0.6025  6 O 2.32-2.41
Cd4 0.7992 0.7992 0.7992  6 O 2.34-2.36
O1 0.0976 0.0976 0.0976  6 Cd 2.32-2.36
O2 0.3059 0.3059 0.3059  3 Mn 2.19, 3 Cd 2.41
O3 0.5000 0.5000 0.5000  6 Cd 2.34
O4 0.6941 0.6941 0.6941  3 Mn 2.19, 3 Cd 2.41
O5 0.9024 0.9024 0.9024  6 Cd 2.32-2.36

=====

VASP calculation (SCAN) on MnCd3O at its PBEsol-relaxed geometry.

Computed properties:
Crystal system: cubic
Uncorrected formation energy in eV per atom: -0.0131
Symmetry: Pm-3m

Unit cell a=4.5305 b=4.5305 c=4.5305 alpha=90.00 beta=90.00 gamma=90.00
Closest atoms and distances in Å follow each position.
Fractional coordinates of all 5 atoms:
Mn1 0.0000 0.0000 0.0000  12 Cd 3.20
Cd1 0.0000 0.5000 0.5000  2 O 2.27
Cd2 0.5000 0.0000 0.5000  2 O 2.27
Cd3 0.5000 0.5000 0.0000  2 O 2.27
O1 0.5000 0.5000 0.5000  6 Cd 2.27

=====

VASP calculation (SCAN) on Mn3Cd3Te2O12 at its PBEsol-relaxed geometry.

Computed properties:
Crystal system: trigonal
Uncorrected formation energy in eV per atom: -1.5110
Symmetry: R3

Unit cell a=6.3535 b=6.3535 c=6.3535 alpha=90.14 beta=90.14 gamma=90.14
Closest atoms and distances in Å follow each position.
Fractional coordinates of all 20 atoms:
Mn1 0.1106 0.5942 0.2952  5 O 2.06-2.23
Mn2 0.2952 0.1106 0.5942  5 O 2.06-2.23
Mn3 0.5942 0.2952 0.1106  5 O 2.06-2.23
Cd1 0.5029 0.8003 0.9848  6 O 2.21-2.48
Cd2 0.8003 0.9848 0.5029  6 O 2.21-2.48
Cd3 0.9848 0.5029 0.8003  6 O 2.21-2.48
Te1 0.0563 0.0563 0.0563  6 O 1.96
Te2 0.5415 0.5415 0.5415  6 O 1.96-1.97
O1 0.0042 0.1158 0.7580  1 Te 1.96, 1 Mn 2.12
O2 0.1158 0.7580 0.0042  1 Te 1.96, 1 Mn 2.12
O3 0.1246 0.9841 0.3479  1 Te 1.96, 1 Mn 2.06
O4 0.2456 0.4577 0.5744  1 Te 1.96, 1 Mn 2.15
O5 0.3479 0.1246 0.9841  1 Te 1.96, 1 Mn 2.06
O6 0.4577 0.5744 0.2456  1 Te 1.96, 1 Mn 2.15
O7 0.4853 0.8357 0.6212  1 Te 1.97, 1 Mn 2.13
O8 0.5744 0.2456 0.4577  1 Te 1.96, 1 Mn 2.15
O9 0.6212 0.4853 0.8357  1 Te 1.97, 1 Mn 2.13
O10 0.7580 0.0042 0.1158  1 Te 1.96, 1 Mn 2.12
O11 0.8357 0.6212 0.4853  1 Te 1.97, 1 Mn 2.13
O12 0.9841 0.3479 0.1246  1 Te 1.96, 1 Mn 2.06

=====

VASP calculation (SCAN) on Mn2CdOs at its PBEsol-relaxed geometry.

Computed properties:
Crystal system: tetragonal
ΔH_f (0 K) in eV per atom: 0.044
Symmetry: P4/mmm

Unit cell a=2.7358 b=2.7358 c=7.4477 alpha=90.00 beta=90.00 gamma=90.00
Closest atoms and distances in Å follow each position.
Fractional coordinates of all 4 atoms:
Mn1 0.0000 0.0000 0.2220  4 Os 2.54, 4 Mn 2.74, 4 Cd 2.83
Mn2 0.0000 0.0000 0.7780  4 Os 2.54, 4 Mn 2.74, 4 Cd 2.83
Cd1 0.5000 0.5000 0.5000  4 Cd 2.74, 8 Mn 2.83
Os1 0.5000 0.5000 0.0000  8 Mn 2.54, 4 Os 2.74

=====

VASP calculation (SCAN) on Mn2CdOs2 at its PBEsol-relaxed geometry.

Computed properties:
Crystal system: tetragonal
ΔH_f (0 K) in eV per atom: 0.467
Symmetry: I4/mmm

Unit cell a=5.8960 b=5.8960 c=5.8960 alpha=142.32 beta=142.32 gamma=54.35
Closest atoms and distances in Å follow each position.
Fractional coordinates of all 5 atoms:
Mn1 0.2500 0.7500 0.5000  4 Os 2.36
Mn2 0.7500 0.2500 0.5000  4 Os 2.36
Cd1 0.0000 0.0000 0.0000  8 Os 2.96, 8 Mn 3.24
Os1 0.3824 0.3824 0.0000  4 Mn 2.36, 1 Os 2.47
Os2 0.6176 0.6176 0.0000  4 Mn 2.36, 1 Os 2.47

=====

VASP calculation (SCAN) on Mn2CdOs at its PBEsol-relaxed geometry.

Computed properties:
Crystal system: cubic
ΔH_f (0 K) in eV per atom: 0.334
Symmetry: F-43m

Unit cell a=4.2995 b=4.2995 c=4.2995 alpha=60.00 beta=60.00 gamma=60.00
Closest atoms and distances in Å follow each position.
Fractional coordinates of all 4 atoms:
Mn1 0.0000 0.0000 0.0000  4 Cd 2.63, 4 Mn 2.63
Mn2 0.2500 0.2500 0.2500  4 Os 2.63, 4 Mn 2.63
Cd1 0.7500 0.7500 0.7500  4 Os 2.63, 4 Mn 2.63
Os1 0.5000 0.5000 0.5000  4 Cd 2.63, 4 Mn 2.63

=====

Computed total magnetization (μB/f.u.) in order:
5.1, 0.2, 2.9, 6.6, 0.3, 0.4, 6.8, 0.0, 8.2, 4.9, 4.8, 4.9, 3.0, 4.9, 4.9, 4.1, 15.0, 6.1, 0.0, 6.0